(1)
# YSc3Ga (GGA-PBE, optimized geometry)
# ΔE to the lowest computed polymorph ... 919 meV per atom
# N(E_F) ... 6.89 states/eV/f.u.
# E ... -0.3445 Ry/atom
data_YSc3Ga
_chemical_formula_sum 'Y1 Sc3 Ga1'
_cell_length_a 5.2134
_cell_length_b 5.2134
_cell_length_c 5.2134
_cell_angle_alpha 90.00
_cell_angle_beta 90.00
_cell_angle_gamma 90.00
_symmetry_space_group_name_H-M 'P m -3 m'
_symmetry_Int_Tables_number 221
_symmetry_space_group_name_Hall '-P 4 2 3'
loop_
_atom_site_label
_atom_site_fract_x
_atom_site_fract_y
_atom_site_fract_z
Y1 0.0000 0.0000 0.0000
Sc1 0.0000 0.0000 0.5000
Ga1 0.5000 0.5000 0.5000

=====

(2)
# YSc2Ga (GGA-PBE, optimized geometry)
# N(E_F) ... 4.43 states/eV/f.u.
# E ... -0.4274 Ry/atom
data_YSc2Ga
_chemical_formula_sum 'Y1 Sc2 Ga1'
_cell_length_a 4.4962
_cell_length_b 4.4962
_cell_length_c 4.5460
_cell_angle_alpha 90.00
_cell_angle_beta 90.00
_cell_angle_gamma 90.00
_symmetry_space_group_name_H-M 'P 4/m m m'
_symmetry_Int_Tables_number 123
_symmetry_space_group_name_Hall '-P 4 2'
loop_
_atom_site_label
_atom_site_fract_x
_atom_site_fract_y
_atom_site_fract_z
Y1 0.0000 0.0000 0.0000
Sc1 0.0000 0.5000 0.5000
Ga1 0.5000 0.5000 0.0000

=====

(3)
# YSc2Ga (GGA-PBE, optimized geometry)
# N(E_F) ... 4.11 states/eV/f.u.
# E ... -0.4203 Ry/atom
data_YSc2Ga
_chemical_formula_sum 'Y3 Sc6 Ga3'
_cell_length_a 3.4203
_cell_length_b 3.4203
_cell_length_c 29.2373
_cell_angle_alpha 90.00
_cell_angle_beta 90.00
_cell_angle_gamma 120.00
_symmetry_space_group_name_H-M 'R 3 m'
_symmetry_Int_Tables_number 160
_symmetry_space_group_name_Hall 'R 3 -2"'
loop_
_atom_site_label
_atom_site_fract_x
_atom_site_fract_y
_atom_site_fract_z
Y1 0.0000 0.0000 0.0000
Sc1 0.0000 0.0000 0.5698
Sc2 0.0000 0.0000 0.7620
Ga1 0.0000 0.0000 0.1657

=====

- Number 1 is which compound?
  YSc3Ga

=====

- E of number 2 (YSc2Ga)?
  -0.4274 Ry/atom